Compound: Rb2TiInF6
Source: Alexandria
Functional: PBE
Structure: optimized geometry

Lattice parameters (Å, degrees): 10.733 10.733 10.733 37.26 37.26 37.26
Fractional coordinates of all 20 atoms:
1 Rb 0.128 0.128 0.128
2 Rb 0.263 0.263 0.263
3 Rb 0.737 0.737 0.737
4 Rb 0.872 0.872 0.872
5 Ti 0.000 0.000 0.000
6 Ti 0.500 0.500 0.500
7 In 0.392 0.392 0.392
8 In 0.608 0.608 0.608
9 F 0.171 0.171 0.782
10 F 0.171 0.782 0.171
11 F 0.172 0.611 0.611
12 F 0.218 0.829 0.829
13 F 0.389 0.389 0.828
14 F 0.389 0.828 0.389
15 F 0.611 0.172 0.611
16 F 0.611 0.611 0.172
17 F 0.782 0.171 0.171
18 F 0.828 0.389 0.389
19 F 0.829 0.218 0.829
20 F 0.829 0.829 0.218

Its uncorrected formation energy is -2.759 eV per atom. The calculation puts the calculated total energy at -5.1384 eV/atom. Its space-group type is R-3m, No. 166. The calculation puts the energy above the most stable polymorph in this dataset at 29 meV per atom.